# 1
{"formula": "Nd8Ga2Tc", "functional": "PBE-GGA", "state": "optimized geometry", "cell": [[5.1573, 0.0000, 0.0000], [0.0000, 7.0291, 0.3787], [-2.5787, -2.5527, 8.7014]], "species": ["Ga", "Nd", "Tc", "Nd", "Nd", "Nd", "Nd", "Nd", "Ga", "Nd", "Nd"], "fractional_positions": [[0.1890, 0.7249, 0.3779], [0.9790, 0.2177, 0.9580], [0.5000, 0.0000, 0.0000], [0.4079, 0.5545, 0.8157], [0.7967, 0.7008, 0.5935], [0.5921, 0.4455, 0.1843], [0.2033, 0.2992, 0.4065], [0.0210, 0.7823, 0.0420], [0.8110, 0.2751, 0.6221], [0.6558, 0.9582, 0.3115], [0.3442, 0.0418, 0.6885]], "n_ef_per_ev_cell": 10.4, "e_above_lowest_polymorph_ev_per_fu": 0.000, "total_energy_ev_per_fu": -56.4, "e_form_ev_per_atom": -0.1705}

=====

# 2
{"formula": "LaEuTlAu", "functional": "PBE-GGA", "state": "optimized geometry", "cell": [[5.4756, 0.0000, 0.0000], [2.7378, 4.7420, 0.0000], [2.7378, 1.5807, 4.4708]], "species": ["Tl", "Eu", "La", "Au"], "fractional_positions": [[0.5000, 0.5000, 0.5000], [0.2500, 0.2500, 0.2500], [0.7500, 0.7500, 0.7500], [0.0000, 0.0000, 0.0000]], "n_ef_per_ev_cell": 11.0, "total_energy_ev_per_fu": -23.1, "e_form_ev_per_atom": -0.5719}

=====

# 3
{"formula": "InGeSb", "functional": "PBE-GGA", "state": "optimized geometry", "cell": [[8.8188, 0.0000, -0.0059], [0.0000, 5.6832, 0.0000], [-0.1132, 0.0000, 6.3609]], "species": ["Ge", "Ge", "In", "Sb", "Sb", "In", "In", "Sb", "In", "Sb", "Ge", "Ge"], "fractional_positions": [[0.7189, 0.0000, 0.1328], [0.7189, 0.5000, 0.6328], [0.0843, 0.5000, 0.4219], [0.4387, 0.5000, 0.8319], [0.4387, 0.0000, 0.3319], [0.0843, 0.0000, 0.9219], [0.7080, 0.5000, 0.1824], [0.9827, 0.0000, 0.3827], [0.7080, 0.0000, 0.6824], [0.9827, 0.5000, 0.8827], [0.3944, 0.0000, 0.8959], [0.3944, 0.5000, 0.3959]], "n_ef_per_ev_cell": 3.9, "e_above_lowest_polymorph_ev_per_fu": 0.102, "total_energy_ev_per_fu": -11.2, "e_form_raw_ev_per_atom": 0.10}

=====

# 4
{"formula": "KScRh", "functional": "PBE-GGA", "state": "optimized geometry", "cell": [[-1.8733, -4.3898, 0.2601], [2.7988, -3.7357, 1.0289], [-0.3907, -2.1847, 4.2334]], "species": ["Sc", "K", "Rh"], "fractional_positions": [[0.0000, 0.0000, 0.0000], [0.5000, 0.5000, 0.5000], [0.7500, 0.7500, 0.7500]], "n_ef_per_ev_cell": 3.5, "e_above_lowest_polymorph_ev_per_fu": 1.656, "total_energy_ev_per_fu": -13.6, "e_form_ev_per_atom": 0.4038}

=====

# 5
{"formula": "KZrTl2", "functional": "PBE-GGA", "state": "optimized geometry", "cell": [[-0.4639, 6.2642, 0.4840], [-1.4581, 5.1566, 3.3125], [5.2134, 1.2359, 2.3164]], "species": ["Tl", "K", "Zr", "Tl"], "fractional_positions": [[0.2488, 0.2488, 0.3607], [0.7442, 0.7442, 0.8556], [0.5073, 0.5073, 0.3875], [0.9997, 0.9997, 0.8961]], "n_ef_per_ev_cell": 2.7, "e_above_lowest_polymorph_ev_per_fu": 0.680, "total_energy_ev_per_fu": -13.6, "e_form_ev_per_atom": 0.2066}

=====

# 6
{"formula": "CoAsBr2", "functional": "PBE-GGA", "state": "optimized geometry", "cell": [[3.6206, 0.0000, 0.0000], [0.0000, 6.7880, 2.8411], [0.0000, 3.8649, 6.2618]], "species": ["Br", "Br", "As", "Co"], "fractional_positions": [[0.0000, 0.3746, 0.3746], [0.0000, 0.1254, 0.1254], [0.5000, 0.7500, 0.7500], [0.5000, 0.2500, 0.2500]], "n_ef_per_ev_cell": 3.4, "e_above_lowest_polymorph_ev_per_fu": 0.685, "total_energy_ev_per_fu": -14.7, "e_form_raw_ev_per_atom": 0.09}

=====

# 7
{"formula": "Ac2ReN6", "functional": "PBE-GGA", "state": "optimized geometry", "cell": [[5.6605, 0.0000, 0.0000], [2.8303, 4.9022, 0.0000], [2.8303, 1.6341, 4.6218]], "species": ["N", "N", "N", "N", "N", "Ac", "Re", "N", "Ac"], "fractional_positions": [[0.2455, 0.7545, 0.2455], [0.7545, 0.7545, 0.2455], [0.7545, 0.2455, 0.7545], [0.2455, 0.2455, 0.7545], [0.2455, 0.7545, 0.7545], [0.2500, 0.2500, 0.2500], [0.0000, 0.0000, 0.0000], [0.7545, 0.2455, 0.2455], [0.7500, 0.7500, 0.7500]], "n_ef_per_ev_cell": 6.3, "total_energy_ev_per_fu": -68.4, "e_form_raw_ev_per_atom": 0.25}

=====

# 8
{"formula": "Ba3Sr3PuO8", "functional": "PBE-GGA", "state": "optimized geometry", "cell": [[7.4570, 0.0001, -0.0001], [-3.7285, 6.4580, -0.0221], [-0.0001, -4.2838, 6.3202]], "species": ["O", "O", "O", "Sr", "Ba", "O", "Sr", "Ba", "O", "Ba", "O", "Sr", "Pu", "O", "O"], "fractional_positions": [[0.2119, 0.9900, 0.7019], [0.2219, 0.0100, 0.2981], [0.7881, 0.0100, 0.2981], [0.5000, 0.0000, 0.5000], [0.5000, 0.5000, 0.0000], [0.7437, 0.4875, 0.7311], [0.5000, 0.5000, 0.5000], [0.0000, 0.5000, 0.0000], [0.2563, 0.5125, 0.2689], [0.0000, 0.0000, 0.0000], [0.7781, 0.9900, 0.7019], [0.0000, 0.5000, 0.5000], [0.0000, 0.0000, 0.5000], [0.7881, 0.5762, 0.2980], [0.2119, 0.4238, 0.7020]], "n_ef_per_ev_cell": 5.6, "total_energy_ev_per_fu": -105.4, "e_form_raw_ev_per_atom": -2.71}

=====

# 9
{"formula": "Ti4NiMo", "functional": "PBE-GGA", "state": "optimized geometry", "cell": [[3.1314, -0.0006, 0.0003], [0.0006, 3.1314, 0.0003], [0.0001, 0.0001, 9.4836]], "species": ["Ti", "Mo", "Ni", "Ti", "Ti", "Ti"], "fractional_positions": [[0.4999, 0.4999, 0.8374], [0.0000, 0.0000, 0.0000], [0.5000, 0.5000, 0.5000], [0.0000, 0.0000, 0.6538], [0.0000, 0.0000, 0.3462], [0.5001, 0.5001, 0.1626]], "n_ef_per_ev_cell": 8.9, "e_above_lowest_polymorph_ev_per_fu": 0.000, "total_energy_ev_per_fu": -49.1, "e_form_ev_per_atom": -0.1512}

=====

# 10
{"formula": "Sm2Ga2Ru", "functional": "PBE-GGA", "state": "optimized geometry", "cell": [[-0.9387, -3.5455, 2.5520], [6.1987, -3.6181, -2.7466], [4.3431, 4.4763, 3.9050]], "species": ["Ga", "Sm", "Ga", "Ga", "Ru", "Sm", "Ga", "Sm", "Sm", "Ru"], "fractional_positions": [[0.8435, 0.0277, 0.6870], [0.9696, 0.7198, 0.9392], [0.4213, 0.4287, 0.8425], [0.1565, 0.5277, 0.3130], [0.5861, 0.5869, 0.1721], [0.2401, 0.8713, 0.4801], [0.5787, 0.9287, 0.1575], [0.7599, 0.3713, 0.5199], [0.0304, 0.2198, 0.0608], [0.4139, 0.0869, 0.8279]], "n_ef_per_ev_cell": 8.9, "e_above_lowest_polymorph_ev_per_fu": 0.774, "total_energy_ev_per_fu": -26.8, "e_form_ev_per_atom": -0.3988}

=====

# 11
{"formula": "Ho6Ag5Sn", "functional": "PBE-GGA", "state": "optimized geometry", "cell": [[0.2586, 1.4366, 4.9366], [-1.8993, -6.7402, 2.0597], [7.5947, -1.3247, 2.6671]], "species": ["Ho", "Ho", "Ag", "Ag", "Ag", "Ag", "Ho", "Ho", "Ho", "Ho", "Ag", "Sn"], "fractional_positions": [[0.8309, 0.7454, 0.3381], [0.1691, 0.7454, 0.6619], [0.0000, 0.5000, 0.0000], [0.3345, 0.5000, 0.3313], [0.3321, 0.0000, 0.3357], [0.6679, 0.0000, 0.6643], [0.8309, 0.2546, 0.3381], [0.5000, 0.2555, 0.0000], [0.5000, 0.7445, 0.0000], [0.1691, 0.2546, 0.6619], [0.6655, 0.5000, 0.6687], [0.0000, 0.0000, 0.0000]], "n_ef_per_ev_cell": 7.6, "total_energy_ev_per_fu": -50.4, "e_form_ev_per_atom": -0.3887}

=====

# 12
{"formula": "BaSiW2", "functional": "PBE-GGA", "state": "optimized geometry", "cell": [[5.8643, 0.0073, -0.0019], [-2.3897, 5.3553, -0.0019], [0.7339, 1.1326, 2.5189]], "species": ["W", "Ba", "Si", "W"], "fractional_positions": [[0.5000, 0.5000, 0.0000], [0.5000, 0.0000, 0.5000], [0.0000, 0.5000, 0.5000], [0.0000, 0.0000, 0.0000]], "n_ef_per_ev_cell": 3.4, "e_above_lowest_polymorph_ev_per_fu": 3.789, "total_energy_ev_per_fu": -27.8, "e_form_raw_ev_per_atom": 1.36}

=====

# 13
{"formula": "V2MoW4", "functional": "PBE-GGA", "state": "optimized geometry", "cell": [[-1.6815, -5.0341, 0.3412], [2.3922, 2.1732, 4.2238], [-4.4047, 2.8876, -0.7388]], "species": ["W", "V", "W", "V", "W", "Mo", "W"], "fractional_positions": [[0.2011, 0.2011, 0.4022], [0.7500, 0.2500, 0.5000], [0.7989, 0.7989, 0.5978], [0.2500, 0.7500, 0.5000], [0.7989, 0.2011, 0.0000], [0.5000, 0.5000, 0.0000], [0.2011, 0.7989, 0.0000]], "n_ef_per_ev_cell": 7.9, "e_above_lowest_polymorph_ev_per_fu": 4.455, "total_energy_ev_per_fu": -77.1, "e_form_ev_per_atom": 0.5469}

=====

# 14
{"formula": "Mg5TlAg6", "functional": "PBE-GGA", "state": "optimized geometry", "cell": [[4.4924, -0.0036, -1.2591], [-3.3166, 6.6990, -3.2088], [-0.1524, -0.7095, 8.1022]], "species": ["Mg", "Ag", "Mg", "Ag", "Mg", "Mg", "Tl", "Ag", "Mg", "Ag", "Ag", "Ag"], "fractional_positions": [[0.5000, 0.1601, 0.8399], [0.7356, 0.5624, 0.9087], [0.0000, 0.6704, 0.3296], [0.7750, 0.2750, 0.2750], [0.0000, 0.3296, 0.6704], [0.5000, 0.5000, 0.5000], [0.0000, 0.0000, 0.0000], [0.2250, 0.7250, 0.7250], [0.5000, 0.8399, 0.1601], [0.7356, 0.9087, 0.5624], [0.2644, 0.4376, 0.0913], [0.2644, 0.0913, 0.4376]], "n_ef_per_ev_cell": 3.2, "total_energy_ev_per_fu": -29.4, "e_form_ev_per_atom": -0.1651}

=====

# 15
{"formula": "AlGaMo2", "functional": "PBE-GGA", "state": "optimized geometry", "cell": [[-0.3818, -1.3955, 4.1740], [-3.9139, 0.1822, 2.0406], [-2.2019, -3.7247, 0.8910]], "species": ["Ga", "Al", "Mo", "Mo"], "fractional_positions": [[0.5000, 0.5000, 0.5000], [0.0000, 0.0000, 0.0000], [0.2500, 0.2500, 0.2500], [0.7500, 0.7500, 0.7500]], "n_ef_per_ev_cell": 4.7, "e_above_lowest_polymorph_ev_per_fu": 0.000, "total_energy_ev_per_fu": -27.9, "e_form_ev_per_atom": 0.1248}

=====

# 16
{"formula": "K2GeAs", "functional": "PBE-GGA", "state": "optimized geometry", "cell": [[5.6070, -0.0108, -0.0033], [-0.0103, 5.0524, 0.0782], [-2.7935, -2.4229, 5.0792]], "species": ["As", "K", "Ge", "K"], "fractional_positions": [[0.5012, 0.6508, 0.0047], [0.1765, 0.0569, 0.3533], [0.4995, 0.1482, 0.9962], [0.8227, 0.6801, 0.6457]], "n_ef_per_ev_cell": 2.0, "e_above_lowest_polymorph_ev_per_fu": 0.000, "total_energy_ev_per_fu": -12.0, "e_form_ev_per_atom": -0.1468}

=====

# 17
{"formula": "Sn3MoAs", "functional": "PBE-GGA", "state": "optimized geometry", "cell": [[-3.9170, -3.3427, 1.3508], [3.4352, -4.0658, -0.0996], [1.0942, 0.7983, 5.1484]], "species": ["As", "Sn", "Sn", "Sn", "Mo"], "fractional_positions": [[0.0000, 0.0000, 0.0000], [0.0000, 0.5000, 0.0000], [0.0000, 0.0000, 0.5000], [0.5000, 0.0000, 0.0000], [0.5000, 0.5000, 0.5000]], "n_ef_per_ev_cell": 3.4, "e_above_lowest_polymorph_ev_per_fu": 2.964, "total_energy_ev_per_fu": -21.6, "e_form_ev_per_atom": 1.1820}

=====

# 18
{"formula": "CdIn2HPd", "functional": "PBE-GGA", "state": "optimized geometry", "cell": [[-1.6498, -1.7683, 4.9379], [-3.2595, -3.7099, -2.4175], [2.5414, -2.2590, 0.0401]], "species": ["H", "Cd", "Pd", "In", "In"], "fractional_positions": [[0.0000, 0.0000, 0.5000], [0.5000, 0.5000, 0.5000], [0.0000, 0.0000, 0.0000], [0.0000, 0.5000, 0.0000], [0.5000, 0.0000, 0.0000]], "n_ef_per_ev_cell": 2.0, "total_energy_ev_per_fu": -15.0}

=====

# 19
{"formula": "Pu3Au", "functional": "PBE-GGA", "state": "optimized geometry", "cell": [[-0.6153, 4.1268, 2.7086], [-3.4891, 3.3109, -1.2690], [-4.0603, 0.5401, 2.8227]], "species": ["Pu", "Pu", "Au", "Pu"], "fractional_positions": [[0.2500, 0.2500, 0.2500], [0.0000, 0.0000, 0.0000], [0.5000, 0.5000, 0.5000], [0.7500, 0.7500, 0.7500]], "n_ef_per_ev_cell": 21.1, "e_above_lowest_polymorph_ev_per_fu": 0.461, "total_energy_ev_per_fu": -46.2, "e_form_ev_per_atom": 0.0307}

=====

# 20
{"formula": "BeCu2PdPb", "functional": "PBE-GGA", "state": "optimized geometry", "cell": [[4.2955, 0.0000, 0.0000], [0.0000, 4.3475, 0.0000], [0.0000, 0.0000, 4.2955]], "species": ["Be", "Pb", "Cu", "Cu", "Pd"], "fractional_positions": [[0.0000, 0.0000, 0.0000], [0.5000, 0.5000, 0.5000], [0.5000, 0.0000, 0.0000], [0.0000, 0.0000, 0.5000], [0.0000, 0.5000, 0.0000]], "n_ef_per_ev_cell": 1.6, "e_above_lowest_polymorph_ev_per_fu": 0.000, "total_energy_ev_per_fu": -20.1, "e_form_ev_per_atom": 0.1536}

=====

# 21
{"formula": "KTeHN2", "functional": "PBE-GGA", "state": "optimized geometry", "cell": [[-1.5319, 3.2133, -2.9274], [-3.2012, -2.9337, -1.5451], [-2.3261, 1.2021, 2.5368]], "species": ["Te", "N", "N", "H", "K"], "fractional_positions": [[0.0000, 0.0000, 0.5000], [0.5000, 0.0000, 0.0000], [0.0000, 0.5000, 0.0000], [0.0000, 0.0000, 0.0000], [0.5000, 0.5000, 0.5000]], "n_ef_per_ev_cell": 2.1, "e_above_lowest_polymorph_ev_per_fu": 0.000, "total_energy_ev_per_fu": -16.0}

=====

# 22
{"formula": "LiTe", "functional": "PBE-GGA", "state": "optimized geometry", "cell": [[1.5276, 7.7164, 0.4093], [-1.5276, 7.7164, 0.4093], [0.0000, 3.4092, 6.8425]], "species": ["Te", "Te", "Te", "Li", "Li", "Li"], "fractional_positions": [[0.3882, 0.3882, 0.3061], [0.0560, 0.0560, 0.6384], [0.2221, 0.2221, 0.9641], [0.5694, 0.5694, 0.3031], [0.8752, 0.8752, 0.9972], [0.7223, 0.7223, 0.6245]], "n_ef_per_ev_cell": 2.6, "e_above_lowest_polymorph_ev_per_fu": 0.000, "total_energy_ev_per_fu": -6.5, "e_form_raw_ev_per_atom": -0.72}

=====

# 23
{"formula": "Fe2Ni8W", "functional": "PBE-GGA", "state": "optimized geometry", "cell": [[-3.6135, 0.7325, -2.2594], [2.0040, -2.1727, -3.9080], [-1.4509, -4.6926, 4.9364]], "species": ["Ni", "Fe", "Ni", "Ni", "Ni", "W", "Fe", "Ni", "Ni", "Ni", "Ni"], "fractional_positions": [[0.2527, 0.4999, 0.0000], [0.6834, 0.6834, 0.3668], [0.1330, 0.8984, 0.2655], [0.3021, 0.8021, 0.6043], [0.8675, 0.6329, 0.7345], [0.5000, 0.0000, 0.0000], [0.3166, 0.3166, 0.6332], [0.7473, 0.5001, 0.0000], [0.6979, 0.1979, 0.3957], [0.1325, 0.3671, 0.2655], [0.8670, 0.1016, 0.7345]], "n_ef_per_ev_cell": 11.5, "total_energy_ev_per_fu": -74.3, "e_form_ev_per_atom": 0.1651}

=====

# 24
{"formula": "Tb6ZnPd", "functional": "PBE-GGA", "state": "optimized geometry", "cell": [[0.5389, 7.9583, 4.9245], [-4.5404, 3.6172, 7.3604], [4.3506, -7.3053, -3.9471]], "species": ["Tb", "Tb", "Tb", "Tb", "Tb", "Tb", "Zn", "Pd"], "fractional_positions": [[0.6019, 0.1019, 0.5000], [0.7473, 0.7473, 0.0000], [0.8981, 0.3981, 0.5000], [0.1019, 0.6019, 0.5000], [0.3981, 0.8981, 0.5000], [0.2527, 0.2527, 0.0000], [0.5000, 0.5000, 0.0000], [0.0000, 0.0000, 0.0000]], "n_ef_per_ev_cell": 10.7, "total_energy_ev_per_fu": -36.4, "e_form_ev_per_atom": -0.2633}

=====

# 25
{"formula": "La6Bi3TeP2", "functional": "PBE-GGA", "state": "optimized geometry", "cell": [[4.5227, 0.0000, 0.0000], [0.0000, 9.1201, 0.3261], [-2.2614, -2.6253, 9.5321]], "species": ["Bi", "P", "Te", "La", "Bi", "La", "La", "La", "Bi", "La", "P", "La"], "fractional_positions": [[0.1616, 0.8326, 0.3233], [0.8313, 0.6649, 0.6626], [0.5000, 0.0000, 0.0000], [0.3295, 0.8945, 0.6590], [0.8384, 0.1674, 0.6767], [0.3268, 0.4307, 0.6537], [0.6732, 0.5693, 0.3463], [0.6705, 0.1055, 0.3410], [0.5000, 0.5000, 0.0000], [0.9894, 0.7428, 0.9788], [0.1687, 0.3351, 0.3374], [0.0106, 0.2572, 0.0212]], "n_ef_per_ev_cell": 3.0, "total_energy_ev_per_fu": -70.9, "e_form_raw_ev_per_atom": -1.31}

=====

# 26
{"formula": "CaZr3Ga", "functional": "PBE-GGA", "state": "optimized geometry", "cell": [[-1.2666, 4.8673, 1.2565], [-5.0129, -1.1265, -0.6895], [-0.3743, -1.3835, 4.9819]], "species": ["Zr", "Zr", "Ca", "Ga", "Zr"], "fractional_positions": [[0.0000, 0.0000, 0.5000], [0.5000, 0.0000, 0.0000], [0.5000, 0.5000, 0.5000], [0.0000, 0.0000, 0.0000], [0.0000, 0.5000, 0.0000]], "n_ef_per_ev_cell": 11.3, "e_above_lowest_polymorph_ev_per_fu": 0.000, "total_energy_ev_per_fu": -28.7, "e_form_ev_per_atom": 0.3956}